The following is a DFT calculation (PBE) of Tl2CdSi after structural relaxation.

Unit cell a=3.429 b=5.266 c=5.623 alpha=90.00 beta=90.00 gamma=90.00
Space group Pmmm (No. 47)
One atom of each set of equivalent atoms:
Tl (0.000, 0.000, 0.000) (multiplicity 1)
Tl (0.500, 0.000, 0.500) (multiplicity 1)
Cd (0.000, 0.500, 0.500) (multiplicity 1)
Si (0.500, 0.500, 0.000) (multiplicity 1)

Output
Energy relative to the lowest polymorph listed for this composition (meV/atom): 122.1
Formation energy without anion corrections (eV/f.u.): 1.55